1.
A plane-wave DFT calculation with GGA-PBEsol was carried out for K2CuAg2 after structural relaxation.

## Properties
Electronic total energy in eV per atom: -2.2545
Space-group type: No. 139

The structure in POSCAR format:
```
K2CuAg2
1.0
-3.181 3.181 3.811
3.181 -3.181 3.811
3.181 3.181 -3.811
K Cu Ag
2 1 2
direct
0.250 0.750 0.500
0.750 0.250 0.500
0.000 0.000 0.000
0.327 0.327 0.000
0.673 0.673 0.000
```

2.
A plane-wave DFT calculation with GGA-PBEsol was carried out for KCu2Ag2 after structural relaxation.

## Properties
Electronic total energy in eV per atom: -2.9178
Space-group type: No. 139

The structure in POSCAR format:
```
KCu2Ag2
1.0
-2.056 2.056 5.867
2.056 -2.056 5.867
2.056 2.056 -5.867
K Cu Ag
1 2 2
direct
0.000 0.000 0.000
0.250 0.750 0.500
0.750 0.250 0.500
0.381 0.381 0.000
0.619 0.619 0.000
```

3.
A plane-wave DFT calculation with GGA-PBEsol was carried out for LaCu2Ag after structural relaxation.

## Properties
Electronic total energy in eV per atom: -4.4238
Space-group type: No. 160

The structure in POSCAR format:
```
LaCu2Ag
1.0
2.146 1.239 4.920
-2.146 1.239 4.920
0.000 -2.478 4.920
La Cu Ag
1 2 1
direct
0.000 0.000 0.000
0.206 0.206 0.206
0.528 0.528 0.528
0.796 0.796 0.796
```

4.
A plane-wave DFT calculation with GGA-PBEsol was carried out for LaCu2Ag after structural relaxation.

## Properties
Electronic total energy in eV per atom: -4.2582
Space-group type: No. 216

The structure in POSCAR format:
```
LaCu2Ag
1.0
0.000 3.374 3.374
3.374 0.000 3.374
3.374 3.374 0.000
La Cu Ag
1 2 1
direct
0.000 0.000 0.000
0.500 0.500 0.500
0.750 0.750 0.750
0.250 0.250 0.250
```

5.
A plane-wave DFT calculation with GGA-PBEsol was carried out for LaCuAg2 after structural relaxation.

## Properties
Electronic total energy in eV per atom: -4.0856
Space-group type: No. 38

The structure in POSCAR format:
```
LaCuAg2
1.0
4.297 0.000 0.000
0.000 1.606 5.839
0.000 -1.606 5.839
La Cu Ag
1 1 2
direct
0.000 0.000 0.000
0.500 0.621 0.621
0.000 0.741 0.741
0.500 0.321 0.321
```

6.
A plane-wave DFT calculation with GGA-PBEsol was carried out for La2CuAg after structural relaxation.

## Properties
Electronic total energy in eV per atom: -4.6833
Space-group type: No. 44
Energy above the lowest structure with this stoichiometry in eV per atom: 0.055

The structure in POSCAR format:
```
La2CuAg
1.0
-1.829 2.380 5.403
1.829 -2.380 5.403
1.829 2.380 -5.403
La Cu Ag
2 1 1
direct
0.000 0.000 0.000
0.690 0.190 0.500
0.447 0.447 0.000
0.274 0.774 0.500
```

7.
A plane-wave DFT calculation with GGA-PBEsol was carried out for La2CuAg after structural relaxation.

## Properties
Electronic total energy in eV per atom: -4.7370
Space-group type: No. 123
Energy above the lowest structure with this stoichiometry in eV per atom: 0.001

The structure in POSCAR format:
```
La2CuAg
1.0
3.702 0.000 0.000
0.000 3.702 0.000
0.000 0.000 7.133
La Cu Ag
2 1 1
direct
0.000 0.000 0.229
0.000 0.000 0.771
0.500 0.500 0.000
0.500 0.500 0.500
```

8.
A plane-wave DFT calculation with GGA-PBEsol was carried out for LaCu2Ag after structural relaxation.

## Properties
Electronic total energy in eV per atom: -4.4447
Space-group type: No. 166

The structure in POSCAR format:
```
LaCu2Ag
1.0
2.195 1.268 4.660
-2.195 1.268 4.660
0.000 -2.535 4.660
La Cu Ag
1 2 1
direct
0.000 0.000 0.000
0.206 0.206 0.206
0.794 0.794 0.794
0.500 0.500 0.500
```

9.
A plane-wave DFT calculation with GGA-PBEsol was carried out for La2CuAg after structural relaxation.

## Properties
Electronic total energy in eV per atom: -4.7140
Space-group type: No. 225
Energy above the lowest structure with this stoichiometry in eV per atom: 0.024

The structure in POSCAR format:
```
La2CuAg
1.0
0.000 3.676 3.676
3.676 0.000 3.676
3.676 3.676 0.000
La Cu Ag
2 1 1
direct
0.250 0.250 0.250
0.750 0.750 0.750
0.000 0.000 0.000
0.500 0.500 0.500
```

10.
A plane-wave DFT calculation with GGA-PBEsol was carried out for LaCuAg2 after structural relaxation.

## Properties
Electronic total energy in eV per atom: -4.0712
Space-group type: No. 139

The structure in POSCAR format:
```
LaCuAg2
1.0
-2.252 2.252 4.034
2.252 -2.252 4.034
2.252 2.252 -4.034
La Cu Ag
1 1 2
direct
0.000 0.000 0.000
0.500 0.500 0.000
0.250 0.750 0.500
0.750 0.250 0.500
```

11.
A plane-wave DFT calculation with GGA-PBEsol was carried out for LaCu2Ag after structural relaxation.

## Properties
Electronic total energy in eV per atom: -4.3284
Space-group type: No. 123

The structure in POSCAR format:
```
LaCu2Ag
1.0
3.331 0.000 0.000
0.000 3.331 0.000
0.000 0.000 6.535
La Cu Ag
1 2 1
direct
0.000 0.000 0.000
0.500 0.500 0.308
0.500 0.500 0.692
0.000 0.000 0.500
```

12.
A plane-wave DFT calculation with GGA-PBEsol was carried out for La2CuAg after structural relaxation.

## Properties
Electronic total energy in eV per atom: -4.7383
Space-group type: No. 38
Energy above the lowest structure with this stoichiometry in eV per atom: 0.000

The structure in POSCAR format:
```
La2CuAg
1.0
4.654 0.000 0.000
0.000 1.995 5.488
0.000 -1.995 5.488
La Cu Ag
2 1 1
direct
0.000 0.000 0.000
0.500 0.290 0.290
0.000 0.713 0.713
0.500 0.579 0.579
```

13.
A plane-wave DFT calculation with GGA-PBEsol was carried out for LaCuAg2 after structural relaxation.

## Properties
Electronic total energy in eV per atom: -4.2055
Space-group type: No. 160

The structure in POSCAR format:
```
LaCuAg2
1.0
2.263 1.307 4.734
-2.263 1.307 4.734
0.000 -2.613 4.734
La Cu Ag
1 1 2
direct
0.000 0.000 0.000
0.791 0.791 0.791
0.213 0.213 0.213
0.477 0.477 0.477
```

14.
A plane-wave DFT calculation with GGA-PBEsol was carried out for LaCuAg2Pt after structural relaxation.

## Properties
Electronic total energy in eV per atom: -4.2664
Space-group type: No. 123
Energy above the lowest structure with this stoichiometry in eV per atom: 0.153

The structure in POSCAR format:
```
LaCuAg2Pt
1.0
4.601 0.000 0.000
0.000 4.601 0.000
0.000 0.000 5.309
La Cu Ag Pt
1 1 2 1
direct
0.000 0.000 0.000
0.000 0.000 0.500
0.000 0.500 0.500
0.500 0.000 0.500
0.500 0.500 0.000
```

15.
A plane-wave DFT calculation with GGA-PBEsol was carried out for LaCuAg2Pt after structural relaxation.

## Properties
Electronic total energy in eV per atom: -4.4192
Space-group type: No. 123
Energy above the lowest structure with this stoichiometry in eV per atom: 0.000

The structure in POSCAR format:
```
LaCuAg2Pt
1.0
5.003 0.000 0.000
0.000 5.003 0.000
0.000 0.000 4.662
La Cu Ag Pt
1 1 2 1
direct
0.000 0.000 0.000
0.500 0.500 0.000
0.000 0.500 0.500
0.500 0.000 0.500
0.500 0.500 0.500
```

16.
A plane-wave DFT calculation with GGA-PBEsol was carried out for LiCu2Ag after structural relaxation.

## Properties
Electronic total energy in eV per atom: -3.5063
Space-group type: No. 71
Energy above the lowest structure with this stoichiometry in eV per atom: 0.000

The structure in POSCAR format:
```
LiCu2Ag
1.0
-1.787 1.827 3.932
1.787 -1.827 3.932
1.787 1.827 -3.932
Li Cu Ag
1 2 1
direct
0.000 0.000 0.000
0.249 0.749 0.500
0.751 0.251 0.500
0.500 0.500 0.000
```

17.
A plane-wave DFT calculation with GGA-PBEsol was carried out for LiCuAg4 after structural relaxation.

## Properties
Electronic total energy in eV per atom: -3.0685
Space-group type: No. 216

The structure in POSCAR format:
```
LiCuAg4
1.0
0.000 3.760 3.760
3.760 0.000 3.760
3.760 3.760 0.000
Li Cu Ag
1 1 4
direct
0.000 0.000 0.000
0.750 0.750 0.750
0.375 0.375 0.375
0.375 0.375 0.875
0.375 0.875 0.375
0.875 0.375 0.375
```

18.
A plane-wave DFT calculation with GGA-PBEsol was carried out for LiCu2Ag after structural relaxation.

## Properties
Electronic total energy in eV per atom: -3.4998
Space-group type: No. 47
Energy above the lowest structure with this stoichiometry in eV per atom: 0.007

The structure in POSCAR format:
```
LiCu2Ag
1.0
3.612 0.000 0.000
0.000 3.681 0.000
0.000 0.000 3.857
Li Cu Ag
1 2 1
direct
0.000 0.000 0.000
0.000 0.500 0.500
0.500 0.000 0.500
0.500 0.500 0.000
```

19.
A plane-wave DFT calculation with GGA-PBEsol was carried out for LiCu2Ag after structural relaxation.

## Properties
Electronic total energy in eV per atom: -3.4577
Space-group type: No. 65
Energy above the lowest structure with this stoichiometry in eV per atom: 0.049

The structure in POSCAR format:
```
LiCu2Ag
1.0
2.581 -3.851 0.000
2.581 3.851 0.000
0.000 0.000 2.651
Li Cu Ag
1 2 1
direct
0.000 0.000 0.000
0.000 0.500 0.500
0.500 0.000 0.500
0.500 0.500 0.000
```

20.
A plane-wave DFT calculation with GGA-PBEsol was carried out for LiCu2Ag after structural relaxation.

## Properties
Electronic total energy in eV per atom: -3.4459
Space-group type: No. 225
Energy above the lowest structure with this stoichiometry in eV per atom: 0.060

The structure in POSCAR format:
```
LiCu2Ag
1.0
0.000 2.976 2.976
2.976 0.000 2.976
2.976 2.976 0.000
Li Cu Ag
1 2 1
direct
0.000 0.000 0.000
0.250 0.250 0.250
0.750 0.750 0.750
0.500 0.500 0.500
```